# 1
Compound: Ba3Li4Ga4
Source: Alexandria
Functional: PBE
Structure: optimized geometry

a b c (Å): 5.2102 4.7089 13.0929
angles (deg): 79.60 81.23 90.01
Sites, in units of the cell vectors:
1 Ba 0.0985 0.6447 0.7102
2 Ba 0.9016 0.3553 0.2898
3 Ba 0.0000 0.0000 0.0001
4 Ga 0.5275 0.5496 0.9018
5 Ga 0.8559 0.2220 0.5554
6 Ga 0.1442 0.7781 0.4445
7 Ga 0.4725 0.4504 0.0982
8 Li 0.6385 0.7524 0.4952
9 Li 0.4091 0.8829 0.2334
10 Li 0.5909 0.1171 0.7667
11 Li 0.3614 0.2476 0.5047

Summary:
Theoretical density in Mg/m³: 3.823
Raw total energy in eV/atom: -2.5498

=====

# 2
Compound: Na2WCl
Source: Alexandria
Functional: PBE
Structure: optimized geometry

a b c (Å): 5.3991 5.3991 5.3991
angles (deg): 60.00 60.00 60.00
Last column: magnetic moment on the atom in μB.
Sites, in units of the cell vectors:
1 Na 0.7500 0.7500 0.7500  0.02
2 Na 0.2500 0.2500 0.2500  0.02
3 W 0.5000 0.5000 0.5000  3.45
4 Cl 0.0000 0.0000 0.0000  0.05

Summary:
Theoretical density in Mg/m³: 3.958
Energy above the most stable polymorph in this dataset in kJ/mol of formula units: 27
Raw total energy in eV/atom: -3.3779

=====

# 3
Compound: Pm4BiSbSe2
Source: Alexandria
Functional: PBE
Structure: optimized geometry

a b c (Å): 4.3813 7.5560 7.5804
angles (deg): 70.38 90.00 90.00
Sites, in units of the cell vectors:
1 Pm 0.0000 0.7673 0.7398
2 Pm 0.0000 0.2327 0.2602
3 Pm 0.5000 0.2365 0.7506
4 Pm 0.5000 0.7635 0.2494
5 Sb 0.0000 0.5000 0.5000
6 Se 0.5000 0.0000 0.5000
7 Se 0.0000 0.0000 0.0000
8 Bi 0.5000 0.5000 0.0000

Summary:
Theoretical density in Mg/m³: 7.507
Raw total energy in eV/atom: -5.6877

=====

These records have magnetization values of 0.00, 5.00, 0.00 μB per cell, in the order they appear.